Computed, not measured: Y2W after structural relaxation at the GGA-PBE level of DFT.

Computed properties:
The crystal system is tetragonal. For the excess energy over the best structure of this formula in the dataset, the calculation gives 0.276 eV/atom. As for the symmetry: I4_1/amd, No. 141. Its total moment is 0.00 μB per atom.

Cell and atoms, written as CIF:
```
data_Y2W
_chemical_formula_sum 'Y4 W2'
_cell_length_a 14.483
_cell_length_b 14.483
_cell_length_c 14.483
_cell_angle_alpha 166.59
_cell_angle_beta 166.59
_cell_angle_gamma 19.01
_space_group_name_H-M_alt 'P 1'
_space_group_IT_number 1
_space_group_name_Hall 'P 1'
loop_
_atom_site_label
_atom_site_type_symbol
_atom_site_fract_x
_atom_site_fract_y
_atom_site_fract_z
Y1 Y 0.186 0.686 0.500
Y2 Y 0.564 0.564 0.000
Y3 Y 0.436 0.436 0.000
Y4 Y 0.314 0.814 0.500
W1 W 0.000 0.000 0.000
W2 W 0.750 0.250 0.500
```

Computed, not measured: LiCaPrNd after structural relaxation at the GGA-PBE level of DFT.

Computed properties:
The crystal system is cubic. For the calculated total energy, the calculation gives -12.7 eV per cell. As for the symmetry: F-43m, No. 216. Its total moment is 0.00 μB per atom.

Cell and atoms, written as CIF:
```
data_LiCaPrNd
_chemical_formula_sum 'Li1 Ca1 Pr1 Nd1'
_cell_length_a 5.744
_cell_length_b 5.744
_cell_length_c 5.744
_cell_angle_alpha 60.00
_cell_angle_beta 60.00
_cell_angle_gamma 60.00
_space_group_name_H-M_alt 'P 1'
_space_group_IT_number 1
_space_group_name_Hall 'P 1'
loop_
_atom_site_label
_atom_site_type_symbol
_atom_site_fract_x
_atom_site_fract_y
_atom_site_fract_z
Ca1 Ca 0.750 0.750 0.750
Nd1 Nd 0.500 0.500 0.500
Pr1 Pr 0.000 0.000 0.000
Li1 Li 0.250 0.250 0.250
```

Computed, not measured: KNaVPb2 after structural relaxation at the GGA-PBE level of DFT.

Computed properties:
The crystal system is tetragonal. For the calculated total energy, the calculation gives -12.7 eV per cell. As for the symmetry: P4/mmm, No. 123. Its total moment is 0.73 μB per atom.

Cell and atoms, written as CIF:
```
data_KNaVPb2
_chemical_formula_sum 'K1 Na1 V1 Pb2'
_cell_length_a 6.067
_cell_length_b 5.314
_cell_length_c 6.067
_cell_angle_alpha 90.00
_cell_angle_beta 90.00
_cell_angle_gamma 90.00
_space_group_name_H-M_alt 'P 1'
_space_group_IT_number 1
_space_group_name_Hall 'P 1'
loop_
_atom_site_label
_atom_site_type_symbol
_atom_site_fract_x
_atom_site_fract_y
_atom_site_fract_z
K1 K 0.000 0.000 0.000
Pb1 Pb 0.500 0.000 0.000
Pb2 Pb 0.000 0.000 0.500
V1 V 0.000 0.500 0.000
Na1 Na 0.500 0.500 0.500
```

Computed, not measured: Pr2Ga3Ni after structural relaxation at the GGA-PBE level of DFT.

Computed properties:
The crystal system is orthorhombic. For the calculated total energy, the calculation gives -28.0 eV per cell. As for the symmetry: Pmm2, No. 25. Its total moment is 0.00 μB per atom.

Cell and atoms, written as CIF:
```
data_Pr2Ga3Ni
_chemical_formula_sum 'Pr2 Ga3 Ni1'
_cell_length_a 3.923
_cell_length_b 4.363
_cell_length_c 7.682
_cell_angle_alpha 90.00
_cell_angle_beta 90.00
_cell_angle_gamma 90.00
_space_group_name_H-M_alt 'P 1'
_space_group_IT_number 1
_space_group_name_Hall 'P 1'
loop_
_atom_site_label
_atom_site_type_symbol
_atom_site_fract_x
_atom_site_fract_y
_atom_site_fract_z
Ga1 Ga 0.500 0.500 0.656
Ga2 Ga 0.500 0.000 0.835
Ga3 Ga 0.500 0.000 0.174
Pr1 Pr 0.000 0.000 0.488
Pr2 Pr 0.000 0.500 0.014
Ni1 Ni 0.500 0.500 0.332
```

Computed, not measured: KAlIr2 after structural relaxation at the GGA-PBE level of DFT.

Computed properties:
The crystal system is orthorhombic. For the calculated total energy, the calculation gives -21.2 eV per cell. As for the symmetry: Immm, No. 71. Its total moment is 0.00 μB per atom.

Cell and atoms, written as CIF:
```
data_KAlIr2
_chemical_formula_sum 'K1 Al1 Ir2'
_cell_length_a 5.670
_cell_length_b 5.670
_cell_length_c 5.670
_cell_angle_alpha 151.08
_cell_angle_beta 125.06
_cell_angle_gamma 63.27
_space_group_name_H-M_alt 'P 1'
_space_group_IT_number 1
_space_group_name_Hall 'P 1'
loop_
_atom_site_label
_atom_site_type_symbol
_atom_site_fract_x
_atom_site_fract_y
_atom_site_fract_z
K1 K 0.750 0.250 0.500
Ir1 Ir 0.039 0.039 0.000
Ir2 Ir 0.461 0.461 0.000
Al1 Al 0.250 0.750 0.500
```

Computed, not measured: BaTc2W after structural relaxation at the GGA-PBE level of DFT.

Computed properties:
The crystal system is monoclinic. For the excess energy over the best structure of this formula in the dataset, the calculation gives 0.198 eV/atom. As for the symmetry: Cm, No. 8. Its total moment is 0.00 μB per atom.

Cell and atoms, written as CIF:
```
data_BaTc2W
_chemical_formula_sum 'Ba1 Tc2 W1'
_cell_length_a 5.085
_cell_length_b 5.085
_cell_length_c 6.291
_cell_angle_alpha 76.02
_cell_angle_beta 76.02
_cell_angle_gamma 37.44
_space_group_name_H-M_alt 'P 1'
_space_group_IT_number 1
_space_group_name_Hall 'P 1'
loop_
_atom_site_label
_atom_site_type_symbol
_atom_site_fract_x
_atom_site_fract_y
_atom_site_fract_z
W1 W 0.456 0.456 0.632
Ba1 Ba 0.256 0.256 0.243
Tc1 Tc 0.037 0.037 0.869
Tc2 Tc 0.751 0.751 0.756
```

Computed, not measured: Ba6As2AuBr3 after structural relaxation at the GGA-PBE level of DFT.

Computed properties:
The crystal system is monoclinic. As for the symmetry: C2/m, No. 12. The formation energy from raw total energies is -1.4230 eV per atom. Its total moment is 0.17 μB per atom.

Cell and atoms, written as CIF:
```
data_Ba6As2AuBr3
_chemical_formula_sum 'Ba6 As2 Au1 Br3'
_cell_length_a 8.284
_cell_length_b 8.284
_cell_length_c 8.493
_cell_angle_alpha 99.45
_cell_angle_beta 99.45
_cell_angle_gamma 119.87
_space_group_name_H-M_alt 'P 1'
_space_group_IT_number 1
_space_group_name_Hall 'P 1'
loop_
_atom_site_label
_atom_site_type_symbol
_atom_site_fract_x
_atom_site_fract_y
_atom_site_fract_z
Ba1 Ba 0.413 0.074 0.221
Ba2 Ba 0.074 0.413 0.221
Ba3 Ba 0.587 0.926 0.779
Ba4 Ba 0.267 0.267 0.775
Ba5 Ba 0.926 0.587 0.779
Ba6 Ba 0.733 0.733 0.225
Br1 Br 0.500 0.500 0.500
Br2 Br 0.828 0.172 0.500
Br3 Br 0.172 0.828 0.500
As1 As 0.334 0.666 0.000
As2 As 0.666 0.334 0.000
Au1 Au 0.000 0.000 0.000
```

Computed, not measured: CdOsCl6 after structural relaxation at the GGA-PBE level of DFT.

Computed properties:
The crystal system is trigonal. For the excess energy over the best structure of this formula in the dataset, the calculation gives 0.040 eV/atom. As for the symmetry: R-3, No. 148. The formation energy from raw total energies is -0.5817 eV per atom. Its total moment is 0.25 μB per atom.

Cell and atoms, written as CIF:
```
data_CdOsCl6
_chemical_formula_sum 'Cd1 Os1 Cl6'
_cell_length_a 6.270
_cell_length_b 6.269
_cell_length_c 6.732
_cell_angle_alpha 62.24
_cell_angle_beta 62.23
_cell_angle_gamma 60.00
_space_group_name_H-M_alt 'P 1'
_space_group_IT_number 1
_space_group_name_Hall 'P 1'
loop_
_atom_site_label
_atom_site_type_symbol
_atom_site_fract_x
_atom_site_fract_y
_atom_site_fract_z
Os1 Os 0.000 0.000 0.000
Cl1 Cl 0.937 0.606 0.236
Cl2 Cl 0.606 0.220 0.236
Cl3 Cl 0.063 0.394 0.764
Cl4 Cl 0.220 0.937 0.236
Cl5 Cl 0.780 0.063 0.764
Cl6 Cl 0.394 0.780 0.764
Cd1 Cd 0.500 0.500 0.500
```

- Which formula does entry 4 have?
  Pr2Ga3Ni

- Look up the total moment of the second one.
  0.00 μB per atom